1.
VASP calculation (PBE-GGA) on MoS after structural relaxation.

abc: 9.7139 9.7139 3.1922
angles: 90.00 90.00 90.00
Closest atoms and distances in Å follow each position.
Element x y z (fractional)
Mo 0.1366 0.3152 0.0000  4 S 2.32-2.36
Mo 0.1848 0.6366 0.5000  4 S 2.32-2.36
Mo 0.3152 0.8634 0.0000  4 S 2.32-2.36
Mo 0.3634 0.1848 0.5000  4 S 2.32-2.36
Mo 0.6366 0.8152 0.5000  4 S 2.32-2.36
Mo 0.6848 0.1366 0.0000  4 S 2.32-2.36
Mo 0.8152 0.3634 0.5000  4 S 2.32-2.36
Mo 0.8634 0.6848 0.0000  4 S 2.32-2.36
S 0.0872 0.7797 0.0000  4 Mo 2.32-2.36
S 0.2203 0.0872 0.0000  4 Mo 2.32-2.36
S 0.2797 0.4128 0.5000  4 Mo 2.32-2.36
S 0.4128 0.7203 0.5000  4 Mo 2.32-2.36
S 0.5872 0.2797 0.5000  4 Mo 2.32-2.36
S 0.7203 0.5872 0.5000  4 Mo 2.32-2.36
S 0.7797 0.9128 0.0000  4 Mo 2.32-2.36
S 0.9128 0.2203 0.0000  4 Mo 2.32-2.36

Calculated values
Space group: I4/m, No. 87
Total moment in μB per formula unit: 0.0
Energy above the lowest structure with this stoichiometry in meV/atom: 220
Raw formation energy in eV per atom: -0.2381



2.
VASP calculation (PBE-GGA) on Pu4Pd12Pt after structural relaxation.

abc: 7.4164 7.4164 7.4164
angles: 109.47 109.47 109.47
Closest atoms and distances in Å follow each position.
Element x y z (fractional)
Pu 0.0000 0.0000 0.5000  12 Pd 3.03-3.06
Pu 0.0000 0.5000 0.0000  12 Pd 3.03-3.06
Pu 0.5000 0.0000 0.0000  12 Pd 3.03-3.06
Pu 0.5000 0.5000 0.5000  12 Pd 3.03-3.06
Pd 0.0000 0.3020 0.3020  1 Pt 2.59, 4 Pd 2.73
Pd 0.0000 0.6980 0.6980  1 Pt 2.59, 4 Pd 2.73
Pd 0.2500 0.5000 0.7500  8 Pd 2.73-3.03, 4 Pu 3.03
Pd 0.2500 0.7500 0.5000  8 Pd 2.73-3.03, 4 Pu 3.03
Pd 0.3020 0.0000 0.3020  1 Pt 2.59, 4 Pd 2.73
Pd 0.3020 0.3020 0.0000  1 Pt 2.59, 4 Pd 2.73
Pd 0.5000 0.2500 0.7500  8 Pd 2.73-3.03, 4 Pu 3.03
Pd 0.5000 0.7500 0.2500  8 Pd 2.73-3.03, 4 Pu 3.03
Pd 0.6980 0.0000 0.6980  1 Pt 2.59, 4 Pd 2.73
Pd 0.6980 0.6980 0.0000  1 Pt 2.59, 4 Pd 2.73
Pd 0.7500 0.2500 0.5000  8 Pd 2.73-3.03, 4 Pu 3.03
Pd 0.7500 0.5000 0.2500  8 Pd 2.73-3.03, 4 Pu 3.03
Pt 0.0000 0.0000 0.0000  6 Pd 2.59

Calculated values
Space group: Im-3m, No. 229
Total moment in μB per formula unit: 19.6
Formation energy from the elements in eV/atom: -0.49



3.
VASP calculation (PBE-GGA) on NaCa2Pd after structural relaxation.

abc: 14.1832 4.0247 8.8059
angles: 90.00 93.00 90.00
Closest atoms and distances in Å follow each position.
Element x y z (fractional)
Na 0.1293 0.0000 0.4608  1 Pd 3.66, 7 Ca 3.67-3.98, 5 Na 3.77-4.02
Na 0.3707 0.5000 0.5392  1 Pd 3.66, 7 Ca 3.67-3.98, 5 Na 3.77-4.02
Na 0.6293 0.5000 0.4608  1 Pd 3.66, 7 Ca 3.67-3.98, 5 Na 3.77-4.02
Na 0.8707 0.0000 0.5392  1 Pd 3.66, 7 Ca 3.67-3.98, 5 Na 3.77-4.02
Ca 0.0329 0.5000 0.8099  4 Pd 3.00-3.06
Ca 0.2334 0.5000 0.1634  3 Pd 2.93-3.10
Ca 0.2666 0.0000 0.8366  3 Pd 2.93-3.10
Ca 0.4671 0.0000 0.1901  4 Pd 3.00-3.06
Ca 0.5329 0.0000 0.8099  4 Pd 3.00-3.06
Ca 0.7334 0.0000 0.1634  3 Pd 2.93-3.10
Ca 0.7666 0.5000 0.8366  3 Pd 2.93-3.10
Ca 0.9671 0.5000 0.1901  4 Pd 3.00-3.06
Pd 0.0980 0.0000 0.0461  1 Pd 2.86, 7 Ca 2.93-3.10
Pd 0.4020 0.5000 0.9539  1 Pd 2.86, 7 Ca 2.93-3.10
Pd 0.5980 0.5000 0.0461  1 Pd 2.86, 7 Ca 2.93-3.10
Pd 0.9020 0.0000 0.9539  1 Pd 2.86, 7 Ca 2.93-3.10

Calculated values
Space group: C2/m, No. 12
Total moment in μB per formula unit: 0.0
Energy above the lowest structure with this stoichiometry in meV/atom: 0
Formation energy from the elements in eV/atom: -0.38



4.
VASP calculation (PBE-GGA) on La3AlRh after structural relaxation.

abc: 5.5038 5.5038 5.5038
angles: 90.00 90.00 90.00
Closest atoms and distances in Å follow each position.
Element x y z (fractional)
La 0.0000 0.0000 0.5000  2 Rh 2.75
La 0.0000 0.5000 0.0000  2 Rh 2.75
La 0.5000 0.0000 0.0000  2 Rh 2.75
Al 0.5000 0.5000 0.5000  12 La 3.89
Rh 0.0000 0.0000 0.0000  6 La 2.75

Calculated values
Space group: Pm-3m, No. 221
Total moment in μB per formula unit: 0.0
Energy above the lowest structure with this stoichiometry in meV/atom: 191
Formation energy from the elements in eV/atom: -0.26



5.
VASP calculation (PBE-GGA) on Ac2Be3Si4Pd after structural relaxation.

abc: 4.2098 4.2098 10.0052
angles: 90.00 90.00 90.00
Closest atoms and distances in Å follow each position.
Element x y z (fractional)
Ac 0.0000 0.5000 0.2466  8 Si 3.22-3.24, 6 Be 3.22-3.30, 2 Pd 3.30
Ac 0.5000 0.0000 0.7534  8 Si 3.22-3.24, 6 Be 3.22-3.30, 2 Pd 3.30
Be 0.0000 0.5000 0.8769  5 Si 2.44-2.46
Be 0.5000 0.0000 0.1231  5 Si 2.44-2.46
Be 0.5000 0.5000 0.5000  4 Si 2.48
Si 0.0000 0.0000 0.0000  4 Be 2.44
Si 0.0000 0.5000 0.6308  3 Be 2.46-2.48, 2 Pd 2.48
Si 0.5000 0.0000 0.3692  3 Be 2.46-2.48, 2 Pd 2.48
Si 0.5000 0.5000 0.0000  4 Be 2.44
Pd 0.0000 0.0000 0.5000  4 Si 2.48

Calculated values
Space group: P-4m2, No. 115
Total moment in μB per formula unit: 0.0
Raw formation energy in eV per atom: -0.4169



6.
VASP calculation (PBE-GGA) on AlZnFe14 after structural relaxation.

abc: 5.7584 5.7584 5.7030
angles: 90.00 90.00 90.00
Closest atoms and distances in Å follow each position.
Element x y z (fractional)
Al 0.0000 0.0000 0.0000  8 Fe 2.51
Zn 0.5000 0.5000 0.0000  8 Fe 2.51
Fe 0.0000 0.0000 0.5000  8 Fe 2.47
Fe 0.0000 0.5000 0.0000  8 Fe 2.51
Fe 0.0000 0.5000 0.5000  8 Fe 2.46
Fe 0.2503 0.2503 0.2567  6 Fe 2.46-2.51, 1 Zn 2.51, 1 Al 2.51
Fe 0.2503 0.2503 0.7433  6 Fe 2.46-2.51, 1 Zn 2.51, 1 Al 2.51
Fe 0.2503 0.7497 0.2567  6 Fe 2.46-2.51, 1 Zn 2.51, 1 Al 2.51
Fe 0.2503 0.7497 0.7433  6 Fe 2.46-2.51, 1 Zn 2.51, 1 Al 2.51
Fe 0.5000 0.0000 0.0000  8 Fe 2.51
Fe 0.5000 0.0000 0.5000  8 Fe 2.46
Fe 0.5000 0.5000 0.5000  8 Fe 2.46
Fe 0.7497 0.2503 0.2567  6 Fe 2.46-2.51, 1 Zn 2.51, 1 Al 2.51
Fe 0.7497 0.2503 0.7433  6 Fe 2.46-2.51, 1 Zn 2.51, 1 Al 2.51
Fe 0.7497 0.7497 0.2567  6 Fe 2.46-2.51, 1 Zn 2.51, 1 Al 2.51
Fe 0.7497 0.7497 0.7433  6 Fe 2.46-2.51, 1 Zn 2.51, 1 Al 2.51

Calculated values
Space group: P4/mmm, No. 123
Total moment in μB per formula unit: 32.6
Formation energy from the elements in eV/atom: -0.03



7.
VASP calculation (PBE-GGA) on Sc2MoPb after structural relaxation.

abc: 3.6737 3.6737 6.2435
angles: 90.00 90.00 90.00
Closest atoms and distances in Å follow each position.
Element x y z (fractional)
Sc 0.0000 0.0000 0.0000  2 Mo 3.01-3.24, 4 Pb 3.07, 4 Sc 3.10
Sc 0.5000 0.5000 0.2717  1 Pb 2.91, 4 Mo 2.91, 4 Sc 3.10
Mo 0.0000 0.0000 0.4815  6 Sc 2.91-3.24, 4 Pb 3.05
Pb 0.5000 0.5000 0.7371  5 Sc 2.91-3.07, 4 Mo 3.05

Calculated values
Space group: P4mm, No. 99
Total moment in μB per formula unit: 0.0
Formation energy from the elements in eV/atom: 0.12



8.
VASP calculation (PBE-GGA) on Ce2TiSn after structural relaxation.

abc: 4.3624 4.3624 4.9171
angles: 90.00 90.00 90.00
Closest atoms and distances in Å follow each position.
Element x y z (fractional)
Ce 0.0000 0.5000 0.0000  4 Ce 3.08, 4 Sn 3.29, 4 Ti 3.29
Ce 0.5000 0.0000 0.0000  4 Ce 3.08, 4 Sn 3.29, 4 Ti 3.29
Ti 0.0000 0.0000 0.5000  4 Sn 3.08, 8 Ce 3.29
Sn 0.5000 0.5000 0.5000  4 Ti 3.08, 8 Ce 3.29

Calculated values
Space group: P4/mmm, No. 123
Total moment in μB per formula unit: 0.0
Energy above the lowest structure with this stoichiometry in meV/atom: 0
Formation energy from the elements in eV/atom: -0.29